1.
The following is a DFT calculation (GGA-PBE) of a relaxed SrGaTeN2 crystal.

The value obtained for the energy above the most stable polymorph in this dataset is 0 meV per atom. The crystal system is tetragonal.

It has space group P4/mmm (No. 123), with a = 4.359 Å, b = 4.359 Å, c = 5.558 Å, α = 90.00°, β = 90.00° and γ = 90.00°. The inequivalent atoms are Sr at (0.000, 0.000, 0.000), Ga at (0.500, 0.500, 0.500), Te at (0.500, 0.500, 0.000) and N at (0.000, 0.500, 0.500).

=====

2.
The following is a DFT calculation (GGA-PBE) of a relaxed SrGaTeN2 crystal.

The value obtained for the energy above the most stable polymorph in this dataset is 292 meV per atom. The crystal system is tetragonal.

It has space group P4/mmm (No. 123), with a = 4.218 Å, b = 4.218 Å, c = 7.615 Å, α = 90.00°, β = 90.00° and γ = 90.00°. The inequivalent atoms are Sr at (0.000, 0.000, 0.000), Ga at (0.000, 0.000, 0.500), Te at (0.500, 0.500, 0.000) and N at (0.000, 0.500, 0.500).

=====

3.
The following is a DFT calculation (GGA-PBE) of a relaxed SrGaTeN2 crystal.

The value obtained for the energy above the most stable polymorph in this dataset is 627 meV per atom. The crystal system is tetragonal.

It has space group P4/mmm (No. 123), with a = 4.892 Å, b = 4.892 Å, c = 6.725 Å, α = 90.00°, β = 90.00° and γ = 90.00°. The inequivalent atoms are Sr at (0.000, 0.000, 0.000), Ga at (0.500, 0.500, 0.500), Te at (0.000, 0.000, 0.500) and N at (0.000, 0.500, 0.000).

=====

4.
The following is a DFT calculation (GGA-PBE) of a relaxed SrThGaN3 crystal.

The crystal system is monoclinic.

It has space group P2_1/m (No. 11), with a = 7.630 Å, b = 3.629 Å, c = 7.823 Å, α = 90.00°, β = 97.19° and γ = 90.00°. The inequivalent atoms are Sr at (0.163, 0.250, 0.184), Th at (0.364, 0.750, 0.831), Ga at (0.091, 0.250, 0.603), N at (0.142, 0.250, 0.850), N at (0.159, 0.750, 0.508) and N at (0.424, 0.750, 0.129).

=====

5.
The following is a DFT calculation (GGA-PBE) of a relaxed Sr2VGaN4 crystal.

The crystal system is orthorhombic.

It has space group Pmmn (No. 59, origin choice 2), with a = 5.772 Å, b = 6.830 Å, c = 6.168 Å, α = 90.00°, β = 90.00° and γ = 90.00°. The inequivalent atoms are Sr at (0.250, 0.001, 0.248), V at (0.250, 0.750, 0.813), Ga at (0.250, 0.250, 0.798), N at (0.005, 0.750, 0.991) and N at (0.250, 0.514, 0.661).

=====

6.
The following is a DFT calculation (GGA-PBE) of a relaxed Sr2ZnGaN crystal.

The crystal system is monoclinic.

It has space group P2_1/m (No. 11), with a = 7.578 Å, b = 3.868 Å, c = 9.044 Å, α = 90.00°, β = 112.47° and γ = 90.00°. The inequivalent atoms are Sr at (0.184, 0.250, 0.375), Sr at (0.190, 0.250, 0.976), Zn at (0.453, 0.750, 0.263), Ga at (0.311, 0.750, 0.719) and N at (0.173, 0.750, 0.176).

=====

7.
The following is a DFT calculation (GGA-PBE) of a relaxed TaGaN crystal.

The value obtained for the energy above the most stable polymorph in this dataset is 0 meV per atom. The crystal system is trigonal.

It has space group R3m (No. 160, hexagonal axes), with a = 3.0892 Å, b = 3.0892 Å, c = 15.5325 Å, α = 90.00°, β = 90.00° and γ = 120.00°. The inequivalent atoms are Ta at (0.0000, 0.0000, 0.0000), Ga at (0.0000, 0.0000, 0.4689) and N at (0.0000, 0.0000, 0.5935).

=====

8.
The following is a DFT calculation (GGA-PBE) of a relaxed TaGaN crystal.

The value obtained for the energy above the most stable polymorph in this dataset is 19 meV per atom. The crystal system is orthorhombic.

It has space group Pmc2_1 (No. 26), with a = 2.880 Å, b = 5.350 Å, c = 5.182 Å, α = 90.00°, β = 90.00° and γ = 90.00°. The inequivalent atoms are Ta at (0.000, 0.140, 0.000), Ga at (0.500, 0.389, 0.413) and N at (0.500, 0.103, 0.690).

=====

9.
The following is a DFT calculation (GGA-PBE) of a relaxed TaGaN crystal.

The value obtained for the energy above the most stable polymorph in this dataset is 40 meV per atom. The crystal system is trigonal.

It has space group R-3m (No. 166, hexagonal axes), with a = 3.1871 Å, b = 3.1871 Å, c = 35.4266 Å, α = 90.00°, β = 90.00° and γ = 120.00°. The inequivalent atoms are Ta at (0.0000, 0.0000, 0.0927), Ga at (0.0000, 0.0000, 0.3626) and N at (0.0000, 0.0000, 0.2181).

=====

10.
The following is a DFT calculation (GGA-PBE) of a relaxed TaGaN3 crystal.

The crystal system is cubic.

It has space group Pm-3m (No. 221), with a = 3.730 Å, b = 3.730 Å, c = 3.730 Å, α = 90.00°, β = 90.00° and γ = 90.00°. The inequivalent atoms are Ta at (0.000, 0.000, 0.000), Ga at (0.500, 0.500, 0.500) and N at (0.000, 0.500, 0.500).

=====

11.
The following is a DFT calculation (GGA-PBE) of a relaxed TaGaN crystal.

The value obtained for the energy above the most stable polymorph in this dataset is 16 meV per atom. The crystal system is orthorhombic.

It has space group Cmc2_1 (No. 36), with a = 2.966 Å, b = 10.850 Å, c = 5.501 Å, α = 90.00°, β = 90.00° and γ = 90.00°. The inequivalent atoms are Ta at (0.000, 0.049, 0.000), Ga at (0.000, 0.228, 0.580) and N at (0.000, 0.483, 0.766).

=====

12.
The following is a DFT calculation (GGA-PBE) of a relaxed Ta3Ga2N crystal.

The crystal system is cubic.

It has space group P4_132 (No. 213), with a = 7.033 Å, b = 7.033 Å, c = 7.033 Å, α = 90.00°, β = 90.00° and γ = 90.00°. The inequivalent atoms are Ta at (0.045, 0.125, 0.795), Ga at (0.069, 0.931, 0.431) and N at (0.125, 0.375, 0.625).

=====

Number 1: electronic total energy -4.30 eV per atom, ΔE_f (raw) 13.8 kcal/mol of atoms. Number 2: electronic total energy -4.01 eV per atom, ΔE_f (raw) 20.5 kcal/mol of atoms. Number 3: electronic total energy -3.68 eV per atom, ΔE_f (raw) 28.2 kcal/mol of atoms. Number 4: electronic total energy -7.09 eV per atom, ΔE_f (raw) -21.0 kcal/mol of atoms. Number 5: electronic total energy -6.94 eV per atom, ΔE_f (raw) -19.3 kcal/mol of atoms. Number 6: electronic total energy -3.62 eV per atom, ΔE_f (raw) -9.8 kcal/mol of atoms. Number 7: electronic total energy -8.23 eV per atom, ΔE_f (raw) -11.4 kcal/mol of atoms. Number 8: electronic total energy -8.21 eV per atom, ΔE_f (raw) -10.9 kcal/mol of atoms. Number 9: electronic total energy -8.19 eV per atom, ΔE_f (raw) -10.4 kcal/mol of atoms. Number 10: electronic total energy -6.87 eV per atom, ΔE_f (raw) 25.5 kcal/mol of atoms. Number 11: electronic total energy -8.21 eV per atom, ΔE_f (raw) -11.0 kcal/mol of atoms. Number 12: electronic total energy -8.85 eV per atom, ΔE_f (raw) -12.2 kcal/mol of atoms.